No. 1
TbZn11Au (PBE, relaxed); total energy = -1.89 eV/atom; DOS at the Fermi energy = 4.813 states/eV per cell; calculated density = 8.5 g/cm3; total magnetization = 0.00 μB per formula unit; space group = C2/m, No. 12; E_form = -0.20 eV per atom
1.0
4.9073 0.0502 2.0444
2.4559 6.3170 1.0232
0.0270 0.0251 6.8470
Zn Tb Au
11 1 1
Direct
0.5000 0.0000 0.5000 Zn
0.6488 0.3517 0.3575 Zn
0.0000 0.5000 0.0000 Zn
0.4962 0.2134 0.7805 Zn
0.3512 0.6483 0.6425 Zn
0.5038 0.7866 0.2195 Zn
0.2767 0.2134 0.2195 Zn
0.9937 0.6483 0.3575 Zn
0.0063 0.3517 0.6425 Zn
0.7233 0.7866 0.7805 Zn
0.0000 0.0000 0.5000 Zn
0.0000 0.0000 0.0000 Tb
0.5000 0.5000 0.0000 Au


No. 2
TbZn6Au6 (PBE, relaxed); total energy = -2.82 eV/atom; DOS at the Fermi energy = 3.973 states/eV per cell; calculated density = 12.8 g/cm3; total magnetization = 0.00 μB per formula unit; space group = Immm, No. 71; E_form = -0.36 eV per atom
1.0
5.2630 0.0000 0.0000
2.6315 6.5363 0.0327
2.6315 0.1891 6.5337
Au Zn Tb
6 6 1
Direct
0.6616 0.3384 0.3384 Au
0.0000 0.3350 0.6650 Au
0.6736 0.8264 0.8264 Au
0.3264 0.1736 0.1736 Au
0.0000 0.6650 0.3350 Au
0.3384 0.6616 0.6616 Au
0.0000 0.0000 0.5000 Zn
0.5000 0.2427 0.7573 Zn
0.5000 0.5000 0.0000 Zn
0.0000 0.5000 0.0000 Zn
0.5000 0.0000 0.5000 Zn
0.5000 0.7573 0.2427 Zn
0.0000 0.0000 0.0000 Tb


No. 3
TbZn6Au4 (PBE, relaxed); total energy = -2.66 eV/atom; DOS at the Fermi energy = 5.044 states/eV per cell; calculated density = 11.1 g/cm3; total magnetization = 0.00 μB per formula unit; space group = P-6m2, No. 187; E_form = -0.35 eV per atom
1.0
4.1218 0.0000 0.0000
0.0000 7.4880 0.0000
0.0000 -3.7440 6.4848
Tb Zn Au
1 6 4
Direct
0.0000 0.0000 0.0000 Tb
0.5000 0.2047 0.4094 Zn
0.5000 0.2047 0.7953 Zn
0.0000 0.9227 0.4614 Zn
0.0000 0.5386 0.0773 Zn
0.0000 0.5386 0.4614 Zn
0.5000 0.5906 0.7953 Zn
0.5000 0.8082 0.6164 Au
0.0000 0.3333 0.6667 Au
0.5000 0.8082 0.1918 Au
0.5000 0.3836 0.1918 Au


No. 4
TbZn3Au3 (PBE, relaxed); total energy = -2.55 eV/atom; DOS at the Fermi energy = 9.116 states/eV per cell; calculated density = 9.3 g/cm3; total magnetization = 0.00 μB per formula unit; ΔE to the lowest computed polymorph = 459.2 meV/atom; space group = Pm-3n, No. 223; E_form = 0.06 eV per atom
1.0
-5.9087 -2.9255 2.2732
2.8398 -0.8282 6.3157
-2.3793 6.2765 1.8929
Au Zn Tb
6 6 2
Direct
0.0000 0.5000 0.2500 Au
0.2500 0.0000 0.5000 Au
0.5000 0.2500 0.0000 Au
0.0000 0.5000 0.7500 Au
0.7500 0.0000 0.5000 Au
0.5000 0.7500 0.0000 Au
0.0000 0.7500 0.5000 Zn
0.5000 0.0000 0.7500 Zn
0.0000 0.2500 0.5000 Zn
0.5000 0.0000 0.2500 Zn
0.2500 0.5000 0.0000 Zn
0.7500 0.5000 0.0000 Zn
0.5000 0.5000 0.5000 Tb
0.0000 0.0000 0.0000 Tb


No. 5
TbZnAu4 (PBE, relaxed); total energy = -3.58 eV/atom; DOS at the Fermi energy = 4.881 states/eV per cell; calculated density = 13.5 g/cm3; total magnetization = 0.00 μB per formula unit; ΔE to the lowest computed polymorph = 34.2 meV/atom; space group = C2/m, No. 12; E_form = -0.41 eV per atom
1.0
5.9900 0.4794 2.2597
1.5480 6.9450 2.0736
0.4637 0.4794 6.3853
Au Tb Zn
8 2 2
Direct
0.3849 0.5315 0.8483 Au
0.1517 0.4685 0.6151 Au
0.8483 0.5315 0.3849 Au
0.3012 0.0000 0.6988 Au
0.1707 0.7786 0.1707 Au
0.6151 0.4685 0.1517 Au
0.8293 0.2214 0.8293 Au
0.6988 0.0000 0.3012 Au
0.1323 0.2033 0.1323 Tb
0.8677 0.7967 0.8677 Tb
0.4100 0.7697 0.4100 Zn
0.5900 0.2303 0.5900 Zn


No. 6
Tb2Zn3Au9 (PBE, relaxed); total energy = -3.53 eV/atom; DOS at the Fermi energy = 10.258 states/eV per cell; calculated density = 14.2 g/cm3; total magnetization = 0.00 μB per formula unit; space group = C2/c, No. 15; E_form = -0.49 eV per atom
1.0
-4.4137 4.7576 -4.5462
6.5314 -3.3708 -2.9600
-4.4897 -9.8352 1.0963
Au Tb Zn
18 4 6
Direct
0.5532 0.1974 0.5781 Au
0.5577 0.0837 0.2530 Au
0.1193 0.9751 0.9219 Au
0.8762 0.8562 0.5700 Au
0.1238 0.1438 0.4300 Au
0.8920 0.1420 0.7500 Au
0.7863 0.3062 0.9300 Au
0.7822 0.4737 0.4277 Au
0.2178 0.5263 0.5723 Au
0.4423 0.9163 0.7470 Au
0.1080 0.8580 0.2500 Au
0.4540 0.6455 0.9277 Au
0.3308 0.3048 0.2470 Au
0.8807 0.0249 0.0781 Au
0.5460 0.3545 0.0723 Au
0.2137 0.6938 0.0700 Au
0.4468 0.8026 0.4219 Au
0.6692 0.6952 0.7530 Au
0.3339 0.2495 0.7503 Tb
0.0008 0.4164 0.2503 Tb
0.6661 0.7505 0.2497 Tb
0.9992 0.5836 0.7497 Tb
0.1478 0.8234 0.4985 Zn
0.5000 0.5000 0.5000 Zn
0.5000 0.0000 0.0000 Zn
0.8249 0.6493 0.0015 Zn
0.1751 0.3507 0.9985 Zn
0.8522 0.1766 0.5015 Zn


No. 7
Tb5Zn2Au2 (PBE, relaxed); total energy = -4.08 eV/atom; DOS at the Fermi energy = 19.546 states/eV per cell; calculated density = 9.6 g/cm3; total magnetization = 0.00 μB per formula unit; space group = Cmce, No. 64; E_form = -0.50 eV per atom
1.0
7.5175 0.0000 0.0000
0.0000 7.3671 0.0000
0.0000 -3.6836 8.2291
Tb Zn Au
10 4 4
Direct
0.3265 0.6824 0.7161 Tb
0.6735 0.3176 0.2839 Tb
0.1735 0.1824 0.7161 Tb
0.5000 0.5000 0.0000 Tb
0.6735 0.0338 0.7161 Tb
0.8265 0.8176 0.2839 Tb
0.8265 0.5338 0.7161 Tb
0.0000 0.0000 0.0000 Tb
0.1735 0.4662 0.2839 Tb
0.3265 0.9662 0.2839 Tb
0.1219 0.6165 0.0000 Zn
0.6219 0.8835 0.0000 Zn
0.3781 0.1165 0.0000 Zn
0.8781 0.3835 0.0000 Zn
0.0000 0.2106 0.4212 Au
0.5000 0.7106 0.4212 Au
0.5000 0.2894 0.5788 Au
0.0000 0.7894 0.5788 Au


No. 8
TbZn2Au3 (PBE, relaxed); total energy = -3.35 eV/atom; DOS at the Fermi energy = 5.890 states/eV per cell; calculated density = 12.8 g/cm3; total magnetization = 0.00 μB per formula unit; space group = P6_3/mmc, No. 194; E_form = -0.52 eV per atom
1.0
4.5521 0.0000 0.0000
-2.2761 3.9423 0.0000
0.0000 0.0000 12.7634
Au Zn Tb
6 4 2
Direct
0.0000 0.0000 0.0000 Au
0.6667 0.3333 0.6313 Au
0.3333 0.6667 0.3687 Au
0.0000 0.0000 0.5000 Au
0.3333 0.6667 0.1313 Au
0.6667 0.3333 0.8687 Au
0.6667 0.3333 0.0833 Zn
0.3333 0.6667 0.5833 Zn
0.3333 0.6667 0.9167 Zn
0.6667 0.3333 0.4167 Zn
0.0000 0.0000 0.7500 Tb
0.0000 0.0000 0.2500 Tb


- The lowest calculated density belongs to which entry?
  TbZn11Au


- What is the E_form in the first record?
  -0.20 eV per atom


- Which value of DOS at the Fermi energy does entry 4 give?
  9.116 states/eV per cell


- Which value of calculated density does entry 6 give?
  14.2 g/cm3